a | SrCu2Ag: single point on PBEsol structure, meta-GGA SCAN.

Cell: 4.367 4.357 5.688 Å, 112.63 90.00 120.07°
Fractional positions:
Sr: 0.500 0.000 0.000
Ag: 0.000 0.000 0.500
Cu: 0.693 0.385 0.579
Cu: 0.307 0.615 0.421

Fermi-level density of states = 0.37 states/eV per atom
crystal system = monoclinic



b | SrCu2Ag: single point on PBEsol structure, meta-GGA SCAN.

Cell: 4.744 4.744 4.744 Å, 60.00 60.00 60.00°
Fractional positions:
Ag: 0.000 0.000 0.000
Cu: 0.250 0.250 0.250
Cu: 0.750 0.750 0.750
Sr: 0.500 0.500 0.500

Fermi-level density of states = 0.33 states/eV per atom
crystal system = cubic



c | SrCu2Ag: single point on PBEsol structure, meta-GGA SCAN.

Cell: 4.275 4.275 5.825 Å, 68.47 68.47 60.00°
Fractional positions:
Sr: 0.495 0.495 0.514
Ag: 0.299 0.299 0.102
Cu: 0.013 0.013 0.960
Cu: 0.692 0.692 0.924

Fermi-level density of states = 0.34 states/eV per atom
crystal system = trigonal



From most stable to least stable, the computed energies give c, a, b.



a | CuTcAg2: single point on PBEsol structure, meta-GGA SCAN.

Cell: 3.908 3.908 4.778 Å, 114.14 114.14 90.00°
Fractional positions:
Ag: 0.750 0.250 0.500
Ag: 0.250 0.750 0.500
Cu: 0.500 0.500 0.000
Tc: 0.000 0.000 0.000

Fermi-level density of states = 0.57 states/eV per atom
crystal system = tetragonal



b | CuTcAg2: single point on PBEsol structure, meta-GGA SCAN.

Cell: 2.616 4.865 4.842 Å, 98.52 105.68 90.00°
Fractional positions:
Ag: 0.253 0.253 0.505
Ag: 0.747 0.747 0.495
Cu: 0.000 0.500 0.000
Tc: 0.500 0.000 0.000

Fermi-level density of states = 0.45 states/eV per atom
crystal system = monoclinic



From most stable to least stable, the computed energies give b, a.